Record 1
{"formula": "TbSi3NiRu", "functional": "PBE", "state": "relaxed", "lattice_angstrom": [[5.544, 0.000, 0.000], [0.000, 6.107, 0.000], [0.000, -3.053, 6.384]], "species": ["Tb", "Tb", "Si", "Si", "Si", "Si", "Si", "Si", "Ni", "Ni", "Ru", "Ru"], "fractional_positions": [[0.750, 0.280, 0.560], [0.250, 0.720, 0.440], [0.250, 0.222, 0.444], [0.000, 0.303, 0.000], [0.500, 0.697, 0.000], [0.500, 0.303, 0.000], [0.000, 0.697, 0.000], [0.750, 0.778, 0.556], [0.250, 0.389, 0.777], [0.750, 0.611, 0.223], [0.250, 0.049, 0.098], [0.750, 0.951, 0.902]], "n_ef_per_ev_atom": 0.44, "spacegroup": "No. 63", "raw_formation_energy_ev_per_atom": -0.42}


Record 2
{"formula": "Tb2Si4Ni3Ru", "functional": "PBE", "state": "relaxed", "lattice_angstrom": [[3.984, 0.000, 0.000], [0.000, 3.984, 0.000], [0.000, 0.000, 9.678]], "species": ["Tb", "Tb", "Si", "Si", "Si", "Si", "Ni", "Ni", "Ni", "Ru"], "fractional_positions": [[0.500, 0.000, 0.241], [0.000, 0.500, 0.759], [0.500, 0.500, 0.000], [0.000, 0.000, 0.000], [0.500, 0.000, 0.634], [0.000, 0.500, 0.366], [0.000, 0.000, 0.500], [0.500, 0.000, 0.875], [0.000, 0.500, 0.125], [0.500, 0.500, 0.500]], "n_ef_per_ev_atom": 0.36, "spacegroup": "No. 115", "raw_formation_energy_ev_per_atom": -0.87}


Record 3
{"formula": "ThSi2NiRu", "functional": "PBE", "state": "relaxed", "lattice_angstrom": [[4.063, 0.000, 0.000], [0.000, 4.063, 0.000], [-2.032, -2.032, 5.044]], "species": ["Th", "Si", "Si", "Ni", "Ru"], "fractional_positions": [[0.000, 0.000, 0.000], [0.624, 0.624, 0.249], [0.376, 0.376, 0.751], [0.750, 0.250, 0.500], [0.250, 0.750, 0.500]], "n_ef_per_ev_atom": 0.60, "spacegroup": "No. 119", "raw_formation_energy_ev_per_atom": -0.84}


Record 4
{"formula": "TiSiNiRu", "functional": "PBE", "state": "relaxed", "lattice_angstrom": [[4.193, 0.000, 0.000], [2.097, 3.631, 0.000], [2.097, 1.210, 3.424]], "species": ["Ru", "Si", "Ti", "Ni"], "fractional_positions": [[0.500, 0.500, 0.500], [0.750, 0.750, 0.750], [0.250, 0.250, 0.250], [0.000, 0.000, 0.000]], "n_ef_per_ev_atom": 0.77, "spacegroup": "No. 216", "raw_formation_energy_ev_per_atom": -0.63}


Record 5
{"formula": "TmSi2NiRu", "functional": "PBE", "state": "relaxed", "lattice_angstrom": [[3.955, 0.000, 0.000], [0.000, 3.955, 0.000], [-1.977, -1.977, 4.969]], "species": ["Tm", "Si", "Si", "Ni", "Ru"], "fractional_positions": [[0.000, 0.000, 0.000], [0.622, 0.622, 0.245], [0.378, 0.378, 0.755], [0.750, 0.250, 0.500], [0.250, 0.750, 0.500]], "n_ef_per_ev_atom": 0.47, "spacegroup": "No. 119", "raw_formation_energy_ev_per_atom": -0.86}


Record 6
{"formula": "Tm2Si3Ni4Ru", "functional": "PBE", "state": "relaxed", "lattice_angstrom": [[3.870, 0.000, 0.000], [0.000, 3.870, 0.000], [0.000, 0.000, 9.942]], "species": ["Tm", "Tm", "Si", "Si", "Si", "Ni", "Ni", "Ni", "Ni", "Ru"], "fractional_positions": [[0.500, 0.000, 0.246], [0.000, 0.500, 0.754], [0.000, 0.000, 0.500], [0.500, 0.000, 0.874], [0.000, 0.500, 0.126], [0.500, 0.500, 0.000], [0.000, 0.000, 0.000], [0.500, 0.000, 0.646], [0.000, 0.500, 0.354], [0.500, 0.500, 0.500]], "n_ef_per_ev_atom": 1.08, "spacegroup": "No. 115", "raw_formation_energy_ev_per_atom": -0.68}


Record 7
{"formula": "TmSi3NiRu", "functional": "PBE", "state": "relaxed", "lattice_angstrom": [[5.462, 0.000, 0.000], [0.000, 6.035, 0.000], [0.000, -3.018, 6.539]], "species": ["Tm", "Tm", "Si", "Si", "Si", "Si", "Si", "Si", "Ni", "Ni", "Ru", "Ru"], "fractional_positions": [[0.750, 0.295, 0.589], [0.250, 0.705, 0.411], [0.250, 0.224, 0.449], [0.000, 0.301, 0.000], [0.500, 0.699, 0.000], [0.500, 0.301, 0.000], [0.000, 0.699, 0.000], [0.750, 0.776, 0.551], [0.250, 0.389, 0.778], [0.750, 0.611, 0.222], [0.250, 0.054, 0.108], [0.750, 0.946, 0.892]], "n_ef_per_ev_atom": 0.40, "spacegroup": "No. 63", "raw_formation_energy_ev_per_atom": -0.39}


Record 8
{"formula": "USi2NiRu", "functional": "PBE", "state": "relaxed", "lattice_angstrom": [[3.947, 0.000, 0.000], [0.000, 3.947, 0.000], [-1.974, -1.974, 5.011]], "species": ["U", "Si", "Si", "Ni", "Ru"], "fractional_positions": [[0.000, 0.000, 0.000], [0.619, 0.619, 0.238], [0.381, 0.381, 0.762], [0.750, 0.250, 0.500], [0.250, 0.750, 0.500]], "n_ef_per_ev_atom": 1.65, "spacegroup": "No. 119", "raw_formation_energy_ev_per_atom": -0.59}


Record 9
{"formula": "USi2NiRu2", "functional": "PBE", "state": "relaxed", "lattice_angstrom": [[-1.971, 1.536, 3.501], [-0.288, -3.987, 1.587], [4.686, 0.606, 2.373]], "species": ["U", "Si", "Si", "Ni", "Ru", "Ru"], "fractional_positions": [[0.000, 0.000, 0.500], [0.500, 0.000, 0.000], [0.000, 0.500, 0.000], [0.000, 0.000, 0.000], [0.500, 0.500, 0.740], [0.500, 0.500, 0.260]], "n_ef_per_ev_atom": 1.55, "spacegroup": "No. 123", "raw_formation_energy_ev_per_atom": -0.02}


Record 10
{"formula": "VSi2NiRu", "functional": "PBE", "state": "relaxed", "lattice_angstrom": [[-4.436, 0.618, 0.293], [-0.694, -3.602, -2.910], [-0.159, -2.800, 3.504]], "species": ["Ru", "Si", "Si", "V", "Ni"], "fractional_positions": [[0.000, 0.000, 0.000], [0.000, 0.000, 0.500], [0.500, 0.000, 0.000], [0.000, 0.500, 0.000], [0.500, 0.500, 0.500]], "n_ef_per_ev_atom": 0.70, "spacegroup": "No. 123", "raw_formation_energy_ev_per_atom": 0.80}


Record 11
{"formula": "YSi3NiRu", "functional": "PBE", "state": "relaxed", "lattice_angstrom": [[-0.232, -2.831, -4.751], [5.991, 0.823, -0.783], [-1.833, -5.848, 3.574]], "species": ["Y", "Y", "Si", "Si", "Si", "Si", "Si", "Si", "Ni", "Ni", "Ru", "Ru"], "fractional_positions": [[0.750, 0.281, 0.562], [0.250, 0.719, 0.438], [0.250, 0.222, 0.444], [0.000, 0.302, 0.000], [0.500, 0.698, 0.000], [0.500, 0.302, 0.000], [0.000, 0.698, 0.000], [0.750, 0.778, 0.556], [0.250, 0.389, 0.777], [0.750, 0.611, 0.223], [0.250, 0.049, 0.099], [0.750, 0.951, 0.901]], "n_ef_per_ev_atom": 0.44, "spacegroup": "No. 63", "raw_formation_energy_ev_per_atom": -0.42}


Record 12
{"formula": "Y2Si4Ni3Ru", "functional": "PBE", "state": "relaxed", "lattice_angstrom": [[-0.245, -1.854, -3.511], [1.594, -3.267, 1.614], [-8.850, -3.183, 2.299]], "species": ["Y", "Y", "Si", "Si", "Si", "Si", "Ni", "Ni", "Ni", "Ru"], "fractional_positions": [[0.500, 0.000, 0.241], [0.000, 0.500, 0.759], [0.500, 0.500, 0.000], [0.000, 0.000, 0.000], [0.500, 0.000, 0.634], [0.000, 0.500, 0.366], [0.000, 0.000, 0.500], [0.500, 0.000, 0.875], [0.000, 0.500, 0.125], [0.500, 0.500, 0.500]], "n_ef_per_ev_atom": 0.35, "spacegroup": "No. 115", "raw_formation_energy_ev_per_atom": -0.87}